A relaxed TiReI2O crystal. Source: the Alexandria database, functional GGA-PBE.

Calculated values
As for the formation energy (no corrections): 281 meV/atom. The density of states at the Fermi level is 6.99 states/eV/cell.

Cell lengths 5.472, 5.472, 3.611 Å; angles 90.00, 90.00, 90.00 degrees
Space group P4/mmm (No. 123)
Inequivalent atoms, fractional coordinates:
Ti (0.000, 0.000, 0.000)
Re (0.500, 0.500, 0.500)
I (0.000, 0.500, 0.000)
O (0.000, 0.000, 0.500)